No. 1
Cs2ErH4: optimized geometry, PBE.

Cell lengths 8.5704, 8.5704, 8.5704 Å; angles 150.23, 150.23, 42.60 degrees
Sites, in units of the cell vectors:
1 Cs 0.1560 0.1560 0.0000
2 Cs 0.8440 0.8440 0.0000
3 Er 0.5000 0.5000 0.0000
4 H 0.0000 0.5000 0.5000
5 H 0.3627 0.3627 0.0000
6 H 0.5000 0.0000 0.5000
7 H 0.6373 0.6373 0.0000

Summary:
uncorrected energy = -3.040 eV per atom
M_tot = 0.00 μB per atom


No. 2
SiTeSeN2: optimized geometry, PBE.

Cell lengths 3.6585, 3.6585, 6.8128 Å; angles 90.00, 90.00, 90.00 degrees
Sites, in units of the cell vectors:
1 Si 0.0000 0.0000 0.0000
2 Te 0.0000 0.0000 0.5000
3 Se 0.5000 0.5000 0.5000
4 N 0.0000 0.5000 0.0000
5 N 0.5000 0.0000 0.0000

Summary:
formation energy from raw total energies = 0.80 eV/atom
M_tot = 0.00 μB per atom